(1)
Density functional theory data (GGA-PBEsol) for a relaxed ScReRu2 crystal.

Crystal system: orthorhombic
Symmetry: Cmmm (65)
Volume (Å³/cell): 59.10
Formation energy from the elements (meV/atom): -90
Total DFT energy (no corrections) (eV/f.u.): -40.64

Structure (CIF):
```
data_ScReRu2
_cell_length_a 2.946
_cell_length_b 4.479
_cell_length_c 4.479
_cell_angle_alpha 90.23
_cell_angle_beta 90.00
_cell_angle_gamma 90.00
_space_group_name_H-M_alt 'P 1'
_space_group_IT_number 1
loop_
_space_group_symop_operation_xyz
'x,y,z'
loop_
_atom_site_label
_atom_site_fract_x
_atom_site_fract_y
_atom_site_fract_z
_atom_site_occupancy
Re1 0.500 0.500 0.500 1
Ru1 0.000 0.500 0.000 1
Ru2 0.000 0.000 0.500 1
Sc1 0.500 0.000 0.000 1
```

=====

(2)
Density functional theory data (GGA-PBEsol) for a relaxed LaP2W crystal.

Offset from the most stable computed form (meV per atom): 108
Crystal system: orthorhombic
Symmetry: Imm2 (44)
Volume (Å³/cell): 75.88
Formation energy from the elements (meV/atom): -602
Total DFT energy (no corrections) (eV/f.u.): -33.14

Structure (CIF):
```
data_LaP2W
_cell_length_a 3.311
_cell_length_b 3.450
_cell_length_c 7.060
_cell_angle_alpha 104.14
_cell_angle_beta 103.56
_cell_angle_gamma 90.00
_space_group_name_H-M_alt 'P 1'
_space_group_IT_number 1
loop_
_space_group_symop_operation_xyz
'x,y,z'
loop_
_atom_site_label
_atom_site_fract_x
_atom_site_fract_y
_atom_site_fract_z
_atom_site_occupancy
La1 0.203 0.703 0.406 1
P1 0.023 0.023 0.047 1
P2 0.822 0.322 0.644 1
W1 0.452 0.452 0.903 1
```

=====

(3)
Density functional theory data (GGA-PBEsol) for a relaxed LiAg2F4 crystal.

Offset from the most stable computed form (meV per atom): 57
Crystal system: cubic
Symmetry: Fd-3m (227)
Volume (Å³/cell): 189.67
Formation energy (no corrections) (eV per atom): -1.4996
Total DFT energy (no corrections) (eV/f.u.): -26.80

Structure (CIF):
```
data_LiAg2F4
_cell_length_a 6.449
_cell_length_b 6.449
_cell_length_c 6.449
_cell_angle_alpha 60.00
_cell_angle_beta 60.00
_cell_angle_gamma 60.00
_space_group_name_H-M_alt 'P 1'
_space_group_IT_number 1
loop_
_space_group_symop_operation_xyz
'x,y,z'
loop_
_atom_site_label
_atom_site_fract_x
_atom_site_fract_y
_atom_site_fract_z
_atom_site_occupancy
Li1 0.500 0.500 0.500 1
Li2 0.750 0.750 0.750 1
Ag1 0.125 0.125 0.625 1
Ag2 0.125 0.625 0.125 1
Ag3 0.125 0.125 0.125 1
Ag4 0.625 0.125 0.125 1
F1 0.379 0.379 0.863 1
F2 0.387 0.871 0.871 1
F3 0.379 0.379 0.379 1
F4 0.379 0.863 0.379 1
F5 0.871 0.871 0.871 1
F6 0.871 0.387 0.871 1
F7 0.863 0.379 0.379 1
F8 0.871 0.871 0.387 1
```

=====

(4)
Density functional theory data (GGA-PBEsol) for a relaxed SrAsOs2 crystal.

Crystal system: orthorhombic
Symmetry: Immm (71)
Volume (Å³/cell): 69.89
Formation energy from the elements (meV/atom): 637
Total DFT energy (no corrections) (eV/f.u.): -28.83

Structure (CIF):
```
data_SrAsOs2
_cell_length_a 2.923
_cell_length_b 4.982
_cell_length_c 5.602
_cell_angle_alpha 116.40
_cell_angle_beta 105.12
_cell_angle_gamma 90.00
_space_group_name_H-M_alt 'P 1'
_space_group_IT_number 1
loop_
_space_group_symop_operation_xyz
'x,y,z'
loop_
_atom_site_label
_atom_site_fract_x
_atom_site_fract_y
_atom_site_fract_z
_atom_site_occupancy
Sr1 0.500 0.000 0.000 1
As1 0.000 0.500 0.000 1
Os1 0.712 0.712 0.425 1
Os2 0.288 0.288 0.575 1
```

=====

Copy entry 2 word for word.
Density functional theory data (GGA-PBEsol) for a relaxed LaP2W crystal.

Offset from the most stable computed form (meV per atom): 108
Crystal system: orthorhombic
Symmetry: Imm2 (44)
Volume (Å³/cell): 75.88
Formation energy from the elements (meV/atom): -602
Total DFT energy (no corrections) (eV/f.u.): -33.14

Structure (CIF):
```
data_LaP2W
_cell_length_a 3.311
_cell_length_b 3.450
_cell_length_c 7.060
_cell_angle_alpha 104.14
_cell_angle_beta 103.56
_cell_angle_gamma 90.00
_space_group_name_H-M_alt 'P 1'
_space_group_IT_number 1
loop_
_space_group_symop_operation_xyz
'x,y,z'
loop_
_atom_site_label
_atom_site_fract_x
_atom_site_fract_y
_atom_site_fract_z
_atom_site_occupancy
La1 0.203 0.703 0.406 1
P1 0.023 0.023 0.047 1
P2 0.822 0.322 0.644 1
W1 0.452 0.452 0.903 1
```